## LuAlHg2 (PBE-GGA)

Data for a relaxed LuAlHg2 crystal.

a b c (Å): 3.5416 3.5416 7.0233
angles (deg): 90.00 90.00 90.00
Closest atoms and distances in Å follow each position.
Space group P4/mmm (No. 123)
One atom of each set of equivalent atoms:
Lu  0.0000  0.0000  0.0000 x1  8 Hg 3.13
Al  0.0000  0.0000  0.5000 x1  8 Hg 2.99
Hg  0.5000  0.5000  0.2679 x2  4 Al 2.99, 4 Lu 3.13, 1 Hg 3.26

## Properties
* electronic total energy: -9.6 eV per cell
* crystal system: tetragonal
* Fermi-level density of states: 0.443 states/eV/atom
* total magnetization: 0.02 μB per formula unit